Record 1
Entry from Alexandria: an optimized crystal structure of Pr2Ho3Er6Pb (PBE).

Unit cell a=6.0806 b=6.0806 c=11.7181 alpha=94.98 beta=94.98 gamma=120.02
Closest atoms and distances in Å follow each position.
Fractional coordinates of all 12 atoms:
Pr  0.3338  0.6662  0.0000  3 Pr 3.50-3.51, 3 Pb 3.51-3.52, 6 Er 3.56
Pr  0.6662  0.3338  0.0000  3 Pr 3.50-3.51, 3 Pb 3.51-3.52, 6 Er 3.56
Ho  0.1673  0.8327  0.5000  6 Er 3.49-3.53, 6 Ho 3.50-3.52
Ho  0.8327  0.1673  0.5000  6 Er 3.49-3.53, 6 Ho 3.50-3.52
Ho  0.5000  0.5000  0.5000  6 Er 3.50-3.52, 6 Ho 3.50-3.51
Er  0.9168  0.5896  0.7480  6 Er 3.44-3.54, 3 Ho 3.49-3.53, 1 Pb 3.52, 2 Pr 3.56
Er  0.7566  0.7566  0.2530  6 Er 3.44-3.54, 3 Ho 3.49-3.52, 1 Pb 3.54, 2 Pr 3.56
Er  0.0832  0.4104  0.2520  6 Er 3.44-3.54, 3 Ho 3.49-3.53, 1 Pb 3.52, 2 Pr 3.56
Er  0.5896  0.9168  0.7480  6 Er 3.44-3.54, 3 Ho 3.49-3.53, 1 Pb 3.52, 2 Pr 3.56
Er  0.2434  0.2434  0.7470  6 Er 3.44-3.54, 3 Ho 3.49-3.52, 1 Pb 3.54, 2 Pr 3.56
Er  0.4104  0.0832  0.2520  6 Er 3.44-3.54, 3 Ho 3.49-3.53, 1 Pb 3.52, 2 Pr 3.56
Pb  0.0000  0.0000  0.0000  6 Pr 3.51-3.52, 6 Er 3.52-3.54

Calculated values
Its space group is C2/m, No. 12. For the total energy, the calculation gives -4.598 eV per atom.

=====

Record 2
Entry from Alexandria: an optimized crystal structure of Pr3Ho2Er6Pb (PBE).

Unit cell a=6.1465 b=6.1465 c=11.6461 alpha=95.05 beta=95.05 gamma=119.97
Closest atoms and distances in Å follow each position.
Fractional coordinates of all 12 atoms:
Pr  0.1673  0.8327  0.5000  6 Pr 3.54-3.56, 6 Er 3.57-3.60
Pr  0.8327  0.1673  0.5000  6 Pr 3.54-3.56, 6 Er 3.57-3.60
Pr  0.5000  0.5000  0.5000  6 Pr 3.54-3.55, 6 Er 3.58-3.60
Ho  0.3341  0.6659  0.0000  6 Er 3.47, 3 Ho 3.53-3.56, 3 Pb 3.55-3.56
Ho  0.6659  0.3341  0.0000  6 Er 3.47, 3 Ho 3.53-3.56, 3 Pb 3.55-3.56
Er  0.9187  0.5907  0.7569  1 Pb 3.44, 2 Ho 3.47, 6 Er 3.49-3.58, 3 Pr 3.58-3.60
Er  0.7535  0.7535  0.2439  1 Pb 3.45, 2 Ho 3.47, 6 Er 3.49-3.58, 3 Pr 3.57-3.60
Er  0.0813  0.4093  0.2431  1 Pb 3.44, 2 Ho 3.47, 6 Er 3.49-3.58, 3 Pr 3.58-3.60
Er  0.5907  0.9187  0.7569  1 Pb 3.44, 2 Ho 3.47, 6 Er 3.49-3.58, 3 Pr 3.58-3.60
Er  0.2465  0.2465  0.7561  1 Pb 3.45, 2 Ho 3.47, 6 Er 3.49-3.58, 3 Pr 3.57-3.60
Er  0.4093  0.0813  0.2431  1 Pb 3.44, 2 Ho 3.47, 6 Er 3.49-3.58, 3 Pr 3.58-3.60
Pb  0.0000  0.0000  0.0000  6 Er 3.44-3.45, 6 Ho 3.55-3.56

Calculated values
Its space group is C2/m, No. 12. For the total energy, the calculation gives -4.592 eV per atom.

=====

Record 3
Entry from Alexandria: an optimized crystal structure of HoErPtPb (PBE).

Unit cell a=5.1585 b=5.1585 c=5.1585 alpha=60.00 beta=60.00 gamma=60.00
Closest atoms and distances in Å follow each position.
Fractional coordinates of all 4 atoms:
Pb  0.2500  0.2500  0.2500  4 Ho 3.16, 4 Er 3.16
Ho  0.0000  0.0000  0.0000  4 Pt 3.16, 4 Pb 3.16
Pt  0.7500  0.7500  0.7500  4 Er 3.16, 4 Ho 3.16
Er  0.5000  0.5000  0.5000  4 Pb 3.16, 4 Pt 3.16

Calculated values
Its space group is F-43m, No. 216. For the total energy, the calculation gives -5.467 eV per atom.

=====

Record 4
Entry from Alexandria: an optimized crystal structure of Ho2Er2Pb2S (PBE).

Unit cell a=5.0382 b=5.0382 c=8.7648 alpha=106.70 beta=106.70 gamma=90.00
Closest atoms and distances in Å follow each position.
Fractional coordinates of all 7 atoms:
Ho  0.0000  0.5000  0.0000  2 S 2.52
Ho  0.5000  0.0000  0.0000  2 S 2.52
Er  0.1666  0.1666  0.3332  1 S 2.67
Er  0.8334  0.8334  0.6668  1 S 2.67
Pb  0.3608  0.3608  0.7216  1 Er 3.11, 4 Ho 3.36
Pb  0.6392  0.6392  0.2784  1 Er 3.11, 4 Ho 3.36
S  0.0000  0.0000  0.0000  4 Ho 2.52, 2 Er 2.67

Calculated values
Its space group is I4/mmm, No. 139. For the total energy, the calculation gives -4.996 eV per atom. Its formation energy from raw total energies is -5.15 eV/f.u.

=====

Record 5
Entry from Alexandria: an optimized crystal structure of HoEr4PbS8 (PBE).

Unit cell a=8.0827 b=8.0827 c=8.0984 alpha=60.06 beta=60.06 gamma=60.00
Closest atoms and distances in Å follow each position.
Fractional coordinates of all 14 atoms:
Ho  0.0021  0.0021  0.9938  6 S 2.69-2.81
Er  0.6251  0.6251  0.1246  4 S 2.63
Er  0.0019  0.4943  0.5020  6 S 2.68-2.80
Er  0.4943  0.0019  0.5020  6 S 2.68-2.80
Er  0.0019  0.0019  0.5020  6 S 2.68-2.80
Pb  0.3746  0.3746  0.8762  4 S 2.76
S  0.2366  0.7922  0.7346  2 Er 2.68, 1 Ho 2.69, 1 Pb 2.76
S  0.7922  0.2366  0.7346  2 Er 2.68, 1 Ho 2.69, 1 Pb 2.76
S  0.2366  0.2366  0.7346  2 Er 2.68, 1 Ho 2.69, 1 Pb 2.76
S  0.2355  0.2355  0.2935  3 Er 2.68, 1 Pb 2.76
S  0.7572  0.2271  0.2585  3 Er 2.63-2.80, 1 Ho 2.81
S  0.2271  0.7572  0.2585  3 Er 2.63-2.80, 1 Ho 2.81
S  0.7572  0.7572  0.2585  3 Er 2.63-2.80, 1 Ho 2.81
S  0.7578  0.7578  0.7268  4 Er 2.63-2.80

Calculated values
Its space group is R3m, No. 160. For the total energy, the calculation gives -6.017 eV per atom. Its formation energy from raw total energies is -24.69 eV/f.u.

=====

Record 6
Entry from Alexandria: an optimized crystal structure of HoErPbS (PBE).

Unit cell a=3.7624 b=3.7599 c=8.3802 alpha=90.04 beta=103.08 gamma=119.69
Closest atoms and distances in Å follow each position.
Fractional coordinates of all 4 atoms:
Ho  0.3403  0.5680  0.9214  3 S 2.69
Er  0.9328  0.3653  0.3133  3 S 2.69-2.70
Pb  0.4688  0.1308  0.6183  3 Ho 3.27-3.29, 3 Er 3.29
S  0.1360  0.9666  0.1166  3 Ho 2.69, 3 Er 2.69-2.70

Calculated values
Its space group is P1, No. 1. For the total energy, the calculation gives -5.440 eV per atom. Its formation energy from raw total energies is -4.78 eV/f.u.

=====

Record 7
Entry from Alexandria: an optimized crystal structure of Sm2Ho6Er3Pb (PBE).

Unit cell a=6.0672 b=6.0672 c=11.6849 alpha=94.98 beta=94.98 gamma=120.02
Closest atoms and distances in Å follow each position.
Fractional coordinates of all 12 atoms:
Sm  0.3338  0.6662  0.0000  3 Sm 3.49-3.51, 3 Pb 3.50-3.51, 6 Ho 3.54
Sm  0.6662  0.3338  0.0000  3 Sm 3.49-3.51, 3 Pb 3.50-3.51, 6 Ho 3.54
Ho  0.9169  0.5888  0.7490  6 Ho 3.45-3.53, 3 Er 3.50-3.52, 1 Pb 3.51, 2 Sm 3.54
Ho  0.7554  0.7554  0.2522  6 Ho 3.45-3.53, 3 Er 3.49-3.51, 1 Pb 3.52, 2 Sm 3.54
Ho  0.0831  0.4112  0.2510  6 Ho 3.45-3.53, 3 Er 3.50-3.52, 1 Pb 3.51, 2 Sm 3.54
Ho  0.5888  0.9169  0.7490  6 Ho 3.45-3.53, 3 Er 3.50-3.52, 1 Pb 3.51, 2 Sm 3.54
Ho  0.2446  0.2446  0.7478  6 Ho 3.45-3.53, 3 Er 3.49-3.51, 1 Pb 3.52, 2 Sm 3.54
Ho  0.4112  0.0831  0.2510  6 Ho 3.45-3.53, 3 Er 3.50-3.52, 1 Pb 3.51, 2 Sm 3.54
Er  0.1673  0.8327  0.5000  6 Ho 3.49-3.52, 6 Er 3.50-3.52
Er  0.8327  0.1673  0.5000  6 Ho 3.49-3.52, 6 Er 3.50-3.52
Er  0.5000  0.5000  0.5000  6 Er 3.50-3.51, 6 Ho 3.50-3.51
Pb  0.0000  0.0000  0.0000  6 Sm 3.50-3.51, 6 Ho 3.51-3.52

Calculated values
Its space group is C2/m, No. 12. For the total energy, the calculation gives -4.585 eV per atom.

=====

Record 8
Entry from Alexandria: an optimized crystal structure of Tb2Ho6Er3Pb (PBE).

Unit cell a=6.0575 b=6.0575 c=11.6344 alpha=95.00 beta=95.00 gamma=120.03
Closest atoms and distances in Å follow each position.
Fractional coordinates of all 12 atoms:
Tb  0.3340  0.6660  0.0000  3 Tb 3.48-3.50, 3 Pb 3.49-3.50, 6 Ho 3.51-3.52
Tb  0.6660  0.3340  0.0000  3 Tb 3.48-3.50, 3 Pb 3.49-3.50, 6 Ho 3.51-3.52
Ho  0.9173  0.5881  0.7502  6 Ho 3.45-3.52, 1 Pb 3.49, 3 Er 3.50-3.52, 2 Tb 3.51
Ho  0.7539  0.7539  0.2512  6 Ho 3.45-3.52, 3 Er 3.49-3.51, 1 Pb 3.50, 2 Tb 3.52
Ho  0.0827  0.4119  0.2498  6 Ho 3.45-3.52, 1 Pb 3.49, 3 Er 3.50-3.52, 2 Tb 3.51
Ho  0.5881  0.9173  0.7502  6 Ho 3.45-3.52, 1 Pb 3.49, 3 Er 3.50-3.52, 2 Tb 3.51
Ho  0.2461  0.2461  0.7488  6 Ho 3.45-3.52, 3 Er 3.49-3.51, 1 Pb 3.50, 2 Tb 3.52
Ho  0.4119  0.0827  0.2498  6 Ho 3.45-3.52, 1 Pb 3.49, 3 Er 3.50-3.52, 2 Tb 3.51
Er  0.1673  0.8327  0.5000  6 Er 3.49-3.51, 6 Ho 3.49-3.52
Er  0.8327  0.1673  0.5000  6 Er 3.49-3.51, 6 Ho 3.49-3.52
Er  0.5000  0.5000  0.5000  6 Er 3.49-3.50, 6 Ho 3.50-3.51
Pb  0.0000  0.0000  0.0000  6 Ho 3.49-3.50, 6 Tb 3.49-3.50

Calculated values
Its space group is C2/m, No. 12. For the total energy, the calculation gives -4.563 eV per atom.

=====

Record 9
Entry from Alexandria: an optimized crystal structure of Tb2Ho3Er6Pb (PBE).

Unit cell a=6.0493 b=6.0493 c=11.6134 alpha=95.01 beta=95.01 gamma=120.03
Closest atoms and distances in Å follow each position.
Fractional coordinates of all 12 atoms:
Tb  0.3339  0.6661  0.0000  3 Tb 3.48-3.50, 3 Pb 3.49-3.50, 6 Er 3.50
Tb  0.6661  0.3339  0.0000  3 Tb 3.48-3.50, 3 Pb 3.49-3.50, 6 Er 3.50
Ho  0.1671  0.8329  0.5000  6 Ho 3.49-3.50, 6 Er 3.49-3.52
Ho  0.8329  0.1671  0.5000  6 Ho 3.49-3.50, 6 Er 3.49-3.52
Ho  0.5000  0.5000  0.5000  6 Ho 3.49, 6 Er 3.50-3.51
Er  0.9176  0.5884  0.7508  6 Er 3.45-3.51, 1 Pb 3.47, 3 Ho 3.50-3.52, 2 Tb 3.50
Er  0.7535  0.7535  0.2505  6 Er 3.45-3.51, 3 Ho 3.49-3.51, 1 Pb 3.49, 2 Tb 3.50
Er  0.0824  0.4116  0.2492  6 Er 3.45-3.51, 1 Pb 3.47, 3 Ho 3.50-3.52, 2 Tb 3.50
Er  0.5884  0.9176  0.7508  6 Er 3.45-3.51, 1 Pb 3.47, 3 Ho 3.50-3.52, 2 Tb 3.50
Er  0.2465  0.2465  0.7495  6 Er 3.45-3.51, 3 Ho 3.49-3.51, 1 Pb 3.49, 2 Tb 3.50
Er  0.4116  0.0824  0.2492  6 Er 3.45-3.51, 1 Pb 3.47, 3 Ho 3.50-3.52, 2 Tb 3.50
Pb  0.0000  0.0000  0.0000  6 Er 3.47-3.49, 6 Tb 3.49-3.50

Calculated values
Its space group is C2/m, No. 12. For the total energy, the calculation gives -4.560 eV per atom.

=====

Record 10
Entry from Alexandria: an optimized crystal structure of Tb3Ho2Er6Pb (PBE).

Unit cell a=6.0650 b=6.0650 c=11.5962 alpha=95.04 beta=95.04 gamma=120.03
Closest atoms and distances in Å follow each position.
Fractional coordinates of all 12 atoms:
Tb  0.1672  0.8328  0.5000  6 Tb 3.50-3.51, 6 Er 3.50-3.53
Tb  0.8328  0.1672  0.5000  6 Tb 3.50-3.51, 6 Er 3.50-3.53
Tb  0.5000  0.5000  0.5000  6 Tb 3.50, 6 Er 3.52
Ho  0.3341  0.6659  0.0000  6 Er 3.48-3.49, 3 Ho 3.49-3.51, 3 Pb 3.50-3.51
Ho  0.6659  0.3341  0.0000  6 Er 3.48-3.49, 3 Ho 3.49-3.51, 3 Pb 3.50-3.51
Er  0.9183  0.5889  0.7528  1 Pb 3.46, 6 Er 3.46-3.52, 2 Ho 3.48, 3 Tb 3.52-3.53
Er  0.7526  0.7526  0.2488  6 Er 3.46-3.52, 1 Pb 3.48, 2 Ho 3.49, 3 Tb 3.50-3.52
Er  0.0817  0.4111  0.2472  1 Pb 3.46, 6 Er 3.46-3.52, 2 Ho 3.48, 3 Tb 3.52-3.53
Er  0.5889  0.9183  0.7528  1 Pb 3.46, 6 Er 3.46-3.52, 2 Ho 3.48, 3 Tb 3.52-3.53
Er  0.2474  0.2474  0.7512  6 Er 3.46-3.52, 1 Pb 3.48, 2 Ho 3.49, 3 Tb 3.50-3.52
Er  0.4111  0.0817  0.2472  1 Pb 3.46, 6 Er 3.46-3.52, 2 Ho 3.48, 3 Tb 3.52-3.53
Pb  0.0000  0.0000  0.0000  6 Er 3.46-3.48, 6 Ho 3.50-3.51

Calculated values
Its space group is C2/m, No. 12. For the total energy, the calculation gives -4.559 eV per atom.

=====

Record 11
Entry from Alexandria: an optimized crystal structure of Tb6Ho3Er2Pb (PBE).

Unit cell a=6.0939 b=6.0939 c=11.6533 alpha=95.02 beta=95.02 gamma=119.98
Closest atoms and distances in Å follow each position.
Fractional coordinates of all 12 atoms:
Tb  0.9173  0.5879  0.7515  6 Tb 3.48-3.54, 1 Pb 3.49, 2 Er 3.51, 3 Ho 3.52-3.54
Tb  0.7533  0.7533  0.2500  6 Tb 3.48-3.54, 1 Pb 3.50, 3 Ho 3.51-3.53, 2 Er 3.52
Tb  0.0827  0.4121  0.2485  6 Tb 3.48-3.54, 1 Pb 3.49, 2 Er 3.51, 3 Ho 3.52-3.54
Tb  0.5879  0.9173  0.7515  6 Tb 3.48-3.54, 1 Pb 3.49, 2 Er 3.51, 3 Ho 3.52-3.54
Tb  0.2467  0.2467  0.7500  6 Tb 3.48-3.54, 1 Pb 3.50, 3 Ho 3.51-3.53, 2 Er 3.52
Tb  0.4121  0.0827  0.2485  6 Tb 3.48-3.54, 1 Pb 3.49, 2 Er 3.51, 3 Ho 3.52-3.54
Ho  0.1676  0.8324  0.5000  6 Ho 3.51-3.54, 6 Tb 3.51-3.54
Ho  0.8324  0.1676  0.5000  6 Ho 3.51-3.54, 6 Tb 3.51-3.54
Ho  0.5000  0.5000  0.5000  6 Ho 3.51-3.52, 6 Tb 3.52-3.53
Er  0.3338  0.6662  0.0000  3 Er 3.51-3.52, 6 Tb 3.51-3.52, 3 Pb 3.52
Er  0.6662  0.3338  0.0000  3 Er 3.51-3.52, 6 Tb 3.51-3.52, 3 Pb 3.52
Pb  0.0000  0.0000  0.0000  6 Tb 3.49-3.50, 6 Er 3.52

Calculated values
Its space group is C2/m, No. 12. For the total energy, the calculation gives -4.576 eV per atom.